1.
VASP calculation (PBE-GGA) on an optimized crystal structure of TaZnCr.

Unit cell a=6.832 b=6.700 c=2.665 alpha=81.44 beta=75.86 gamma=22.69
Positions (direct):
Ta 0.338 0.338 0.662
Zn 0.659 0.659 0.341
Cr 0.003 0.003 0.997

Properties
The magnetization comes out at 0.00 μB/f.u. The crystal system is orthorhombic. Its formation enthalpy at 0 K is 205.6 meV/atom. The space group is Fmm2, No. 42. As for the calculated volume: 44.7 Å³ per cell. The energy comes out at -7.38 eV/atom.

=====

2.
VASP calculation (PBE-GGA) on an optimized crystal structure of TaZn2Cr.

Unit cell a=4.858 b=4.858 c=4.858 alpha=133.49 beta=133.49 gamma=67.89
Positions (direct):
Cr 0.500 0.500 0.000
Zn 0.250 0.750 0.500
Zn 0.000 0.000 0.000
Ta 0.750 0.250 0.500

Properties
The magnetization comes out at 1.13 μB/f.u. The crystal system is tetragonal. Its formation enthalpy at 0 K is 216.1 meV/atom. The space group is I-4m2, No. 119. As for the calculated volume: 59.3 Å³ per cell. The energy comes out at -5.79 eV/atom.

=====

3.
VASP calculation (PBE-GGA) on an optimized crystal structure of TaZn2Cr.

Unit cell a=4.383 b=4.383 c=4.383 alpha=60.00 beta=60.00 gamma=60.00
Positions (direct):
Zn 0.250 0.250 0.250
Zn 0.000 0.000 0.000
Ta 0.750 0.750 0.750
Cr 0.500 0.500 0.500

Properties
The magnetization comes out at 1.01 μB/f.u. The crystal system is cubic. Its formation enthalpy at 0 K is 339.2 meV/atom. The space group is F-43m, No. 216. As for the calculated volume: 59.5 Å³ per cell. The energy comes out at -5.67 eV/atom.

=====

4.
VASP calculation (PBE-GGA) on an optimized crystal structure of TaZn2Cr.

Unit cell a=9.318 b=9.318 c=9.318 alpha=16.95 beta=16.95 gamma=16.95
Positions (direct):
Zn 0.506 0.506 0.506
Zn 0.994 0.994 0.994
Ta 0.750 0.750 0.750
Cr 0.250 0.250 0.250

Properties
The magnetization comes out at 0.52 μB/f.u. The crystal system is trigonal. Its formation enthalpy at 0 K is 302.2 meV/atom. The space group is R-3m, No. 166. As for the calculated volume: 60.0 Å³ per cell. The energy comes out at -5.70 eV/atom.

=====

5.
VASP calculation (PBE-GGA) on an optimized crystal structure of TaZnCr.

Unit cell a=4.288 b=4.288 c=4.288 alpha=60.00 beta=60.00 gamma=60.00
Positions (direct):
Zn 0.000 0.000 0.000
Cr 0.500 0.500 0.500
Ta 0.750 0.750 0.750

Properties
The magnetization comes out at 1.41 μB/f.u. The crystal system is cubic. Its formation enthalpy at 0 K is 1109.9 meV/atom. The space group is F-43m, No. 216. As for the calculated volume: 55.7 Å³ per cell. The energy comes out at -6.47 eV/atom.

=====

6.
VASP calculation (PBE-GGA) on an optimized crystal structure of Ta4ZnCr.

Unit cell a=5.417 b=5.417 c=5.417 alpha=60.00 beta=60.00 gamma=60.00
Positions (direct):
Zn 0.750 0.750 0.750
Ta 0.876 0.375 0.375
Ta 0.375 0.375 0.876
Ta 0.375 0.876 0.375
Ta 0.375 0.375 0.375
Cr 0.000 0.000 0.000

Properties
The magnetization comes out at 2.90 μB/f.u. The crystal system is cubic. Its formation enthalpy at 0 K is 620.8 meV/atom. The space group is F-43m, No. 216. As for the calculated volume: 112.4 Å³ per cell. The energy comes out at -9.10 eV/atom.